Crystalline CdAuBr2 at its relaxed geometry, computed with GGA-PBE.

Cell lengths 3.9010, 7.2986, 9.1309 Å; angles 90.00, 90.00, 90.00 degrees
Space group Cmm2 (No. 35)
Symmetry-distinct sites (fractional):
Cd  0.0000  0.0000  0.0000 x2
Au  0.0000  0.5000  0.2119 x2
Br  0.0000  0.0000  0.4037 x2
Br  0.0000  0.5000  0.7989 x2

Results
* formation energy from raw total energies: -0.204 eV/atom
* calculated total energy: -2.088 eV per atom
* DOS(E_F): 2.64 states/eV per cell


Crystalline CaAlAg2S4 at its relaxed geometry, computed with GGA-PBE.

Cell lengths 6.8926, 6.9004, 7.1546 Å; angles 90.00, 90.00, 90.00 degrees
Space group I222 (No. 23)
Symmetry-distinct sites (fractional):
Ca  0.0000  0.0000  0.0000 x2
Al  0.0000  0.0000  0.5000 x2
Ag  0.0000  0.5000  0.2462 x4
S  0.1881  0.1879  0.3115 x8

Results
* formation energy from raw total energies: -0.854 eV/atom
* calculated total energy: -4.348 eV per atom
* DOS(E_F): 6.34 states/eV per cell


Crystalline CaCuMo2 at its relaxed geometry, computed with GGA-PBE.

Cell lengths 3.2564, 3.2564, 7.0736 Å; angles 90.00, 90.00, 90.00 degrees
Space group P4mm (No. 99)
Symmetry-distinct sites (fractional):
Ca  0.0000  0.0000  0.0000 x1
Cu  0.5000  0.5000  0.2857 x1
Mo  0.0000  0.0000  0.4981 x1
Mo  0.5000  0.5000  0.6737 x1

Results
* calculated total energy: -6.600 eV per atom
* energy of formation from the pure elements: 0.340 eV/atom
* DOS(E_F): 4.19 states/eV per cell


Crystalline MgAlPd at its relaxed geometry, computed with GGA-PBE.

Cell lengths 8.5309, 5.3116, 5.2684 Å; angles 90.00, 118.55, 90.00 degrees
Space group C2/m (No. 12)
Symmetry-distinct sites (fractional):
Mg  0.1129  0.0000  0.3565 x4
Al  0.2500  0.2500  0.0000 x4
Pd  0.0395  0.5000  0.2787 x4

Results
* calculated total energy: -3.897 eV per atom
* energy of formation from the pure elements: -0.387 eV/atom
* DOS(E_F): 2.50 states/eV per cell


Crystalline Tl2Zn2Te at its relaxed geometry, computed with GGA-PBE.

Cell lengths 7.4946, 7.4946, 4.6918 Å; angles 90.00, 90.00, 90.00 degrees
Space group P4/mbm (No. 127)
Symmetry-distinct sites (fractional):
Tl  0.1786  0.3214  0.0000 x4
Zn  0.1203  0.6203  0.5000 x4
Te  0.0000  0.0000  0.5000 x2

Results
* formation energy from raw total energies: -0.002 eV/atom
* calculated total energy: -2.086 eV per atom
* DOS(E_F): 3.74 states/eV per cell


Crystalline LaPm2Hg at its relaxed geometry, computed with GGA-PBE.

Cell lengths 3.7752, 3.7752, 8.8114 Å; angles 90.00, 90.00, 90.00 degrees
Space group P4/mmm (No. 123)
Symmetry-distinct sites (fractional):
La  0.0000  0.0000  0.0000 x1
Pm  0.5000  0.5000  0.2822 x2
Hg  0.0000  0.0000  0.5000 x1

Results
* calculated total energy: -3.918 eV per atom
* energy of formation from the pure elements: -0.235 eV/atom
* DOS(E_F): 5.27 states/eV per cell